A plane-wave DFT calculation with PBE was carried out for a geometry-optimized Th2SnBi structure.

The structure belongs to space group C2/m (No. 12); the cell edges are 7.9085, 4.5591 and 7.9257 Å and the angles 90.00°, 109.34° and 90.00°. The inequivalent atoms are Th at (0.2460, 0.0000, 0.2382), Sn at (0.0000, 0.5000, 0.0000) and Bi at (0.0000, 0.0000, 0.5000).

The energy above the most stable polymorph in this dataset comes out at 0.0000 eV/atom.

A plane-wave DFT calculation with PBE was carried out for a geometry-optimized Dy2Tm3Ru2 structure.

The structure belongs to space group C2/m (No. 12); the cell edges are 11.7723, 3.8549 and 8.4301 Å and the angles 90.00°, 113.92° and 90.00°. The inequivalent atoms are Dy at (0.1634, 0.0000, 0.3084), Tm at (0.0000, 0.5000, 0.5000), Tm at (0.1225, 0.5000, 0.9282) and Ru at (0.1773, 0.0000, 0.7222).

Number 1: density of states at the Fermi level 4.64 states/eV/cell, energy relative to the elements -0.56 eV per atom. Number 2: density of states at the Fermi level 10.39 states/eV/cell, energy relative to the elements -0.37 eV per atom.